Model 1:
First-principles (GGA-PBE) data for a geometry-optimized Li2LaRu structure, as listed in Alexandria.

The structure in POSCAR format:
```
Li2LaRu
1.0
5.1380 0.0000 0.0000
0.0000 3.3807 -0.0156
0.0000 0.7981 4.6833
La Li Ru
1 2 1
direct
0.5000 0.7500 0.7500 La
0.0000 0.0562 0.0571 Li
0.0000 0.4438 0.4429 Li
0.5000 0.2500 0.2500 Ru
```

Values from the calculation:
Space-group type: P2/m (10)

Model 2:
First-principles (GGA-PBE) data for a geometry-optimized Li2LaRu structure, as listed in Alexandria.

The structure in POSCAR format:
```
Li2LaRu
1.0
10.4474 -0.0287 -0.0168
10.0358 2.9039 -0.0168
10.0358 1.4087 2.5394
La Li Ru
1 2 1
direct
0.7500 0.7500 0.7500 La
0.9829 0.9829 0.9829 Li
0.5171 0.5171 0.5171 Li
0.2500 0.2500 0.2500 Ru
```

Values from the calculation:
Space-group type: R-3m (166)

The winner here is model 1, beating the second structure by 37.8 kJ/mol of atoms.

Model 1:
First-principles (GGA-PBE) data for a geometry-optimized Li2LaRu structure, as listed in Alexandria.

The structure in POSCAR format:
```
Li2LaRu
1.0
-1.2116 2.6676 -0.4724
-2.4442 -1.2995 -1.0697
-3.4161 -0.1393 7.9745
La Li Ru
1 2 1
direct
0.5000 0.5000 0.7500 La
0.0000 0.0000 0.0610 Li
0.0000 0.0000 0.4390 Li
0.5000 0.5000 0.2500 Ru
```

Values from the calculation:
Space-group type: P4/mmm (123)

Model 2:
First-principles (GGA-PBE) data for a geometry-optimized Li2LaRu structure, as listed in Alexandria.

The structure in POSCAR format:
```
Li2LaRu
1.0
-1.0907 -1.6555 -4.6678
3.8357 -0.5777 -0.6913
-0.3061 -3.6791 1.3764
La Li Ru
1 2 1
direct
0.5000 0.0000 0.5000 La
0.0000 0.0000 0.0000 Li
0.0000 0.5000 0.5000 Li
0.5000 0.5000 0.0000 Ru
```

Values from the calculation:
Space-group type: P4/mmm (123)

The winner here is model 2, beating the second structure by 38.3 kJ/mol of atoms.

Model 1:
First-principles (GGA-PBE) data for a geometry-optimized Li2LaRu structure, as listed in Alexandria.

The structure in POSCAR format:
```
Li2LaRu
1.0
3.6894 0.0000 0.0000
0.0000 3.2410 -0.0079
0.0000 2.2555 7.1159
La Li Ru
1 2 1
direct
0.5000 0.7086 0.6835 La
0.0000 0.8983 0.0771 Li
0.5000 0.2797 0.2737 Li
0.0000 0.6134 0.4657 Ru
```

Values from the calculation:
Space-group type: Pm (6)

Model 2:
First-principles (GGA-PBE) data for a geometry-optimized Li2LaRu structure, as listed in Alexandria.

The structure in POSCAR format:
```
Li2LaRu
1.0
-1.0111 -4.8065 -2.5451
4.2461 -3.2612 -1.3919
-1.7863 2.7538 4.4529
La Li Ru
1 2 1
direct
0.7500 0.2500 0.5000 La
0.0000 0.0000 0.0000 Li
0.5000 0.5000 0.0000 Li
0.2500 0.7500 0.5000 Ru
```

Values from the calculation:
Space-group type: I4/mmm (139)

The winner here is model 2, beating the second structure by 4.4 kJ/mol of atoms.

Model 1:
First-principles (GGA-PBE) data for a geometry-optimized Li2LaRu structure, as listed in Alexandria.

The structure in POSCAR format:
```
Li2LaRu
1.0
-2.8376 2.6452 -0.5014
-2.6845 -2.8353 0.2341
-3.3268 1.3225 10.5480
Ru Li La
2 4 2
direct
0.5000 0.5000 0.0000 Ru
0.2500 0.7500 0.5000 Ru
0.5700 0.1250 0.2500 Li
0.1800 0.6250 0.2500 Li
0.3750 0.4300 0.7500 Li
0.8750 0.8200 0.7500 Li
0.0000 0.0000 0.0000 La
0.7500 0.2500 0.5000 La
```

Values from the calculation:
Space-group type: I-42d (122)

Model 2:
First-principles (GGA-PBE) data for a geometry-optimized Li2LaRu structure, as listed in Alexandria.

The structure in POSCAR format:
```
Li2LaRu
1.0
-2.5979 0.4846 1.1573
0.5721 -2.7664 -0.5853
3.9946 -1.1752 9.4592
La Li Ru
1 2 1
direct
0.5000 0.5000 0.7500 La
0.0000 0.0000 0.0506 Li
0.0000 0.0000 0.4494 Li
0.5000 0.5000 0.2500 Ru
```

Values from the calculation:
Space-group type: Cmmm (65)

Model 3:
First-principles (GGA-PBE) data for a geometry-optimized Li2LaRu structure, as listed in Alexandria.

The structure in POSCAR format:
```
Li2LaRu
1.0
-3.9099 -3.3506 0.4410
4.8317 -1.7326 0.6004
-0.1687 0.6055 3.1050
La Li Ru
1 2 1
direct
0.0000 0.5000 0.5000 La
0.0000 0.0000 0.0000 Li
0.5000 0.5000 0.0000 Li
0.5000 0.0000 0.5000 Ru
```

Values from the calculation:
Space-group type: Cmmm (65)

Model 4:
First-principles (GGA-PBE) data for a geometry-optimized Li2LaRu structure, as listed in Alexandria.

The structure in POSCAR format:
```
Li2LaRu
1.0
0.0000 3.2916 3.2916
3.2916 0.0000 3.2916
3.2916 3.2916 0.0000
Ru Li La
1 2 1
direct
0.0000 0.0000 0.0000 Ru
0.2500 0.2500 0.2500 Li
0.7500 0.7500 0.7500 Li
0.5000 0.5000 0.5000 La
```

Values from the calculation:
Space-group type: Fm-3m (225)

The winner here is model 1, beating the second structure by 4.2 kJ/mol of atoms.

Model 1:
First-principles (GGA-PBE) data for a geometry-optimized Li2LaRu structure, as listed in Alexandria.

The structure in POSCAR format:
```
Li2LaRu
1.0
4.4212 -0.0018 -0.0056
-2.0456 5.6584 0.0129
0.3301 1.0605 3.3078
La Li Ru
1 2 1
direct
0.5000 0.5000 0.0000 La
0.0000 0.0000 0.0000 Li
0.5000 0.0000 0.5000 Li
0.0000 0.5000 0.5000 Ru
```

Values from the calculation:
Space-group type: C2/m (12)

Model 2:
First-principles (GGA-PBE) data for a geometry-optimized Li2LaRu structure, as listed in Alexandria.

The structure in POSCAR format:
```
Li2LaRu
1.0
4.7619 -0.0187 0.0000
0.0512 4.7616 0.0000
-2.4065 -2.3715 3.3556
La Li Ru
1 2 1
direct
0.7500 0.2500 0.5000 La
0.0000 0.0000 0.0000 Li
0.2500 0.7500 0.5000 Li
0.5000 0.5000 0.0000 Ru
```

Values from the calculation:
Space-group type: I-4m2 (119)

The winner here is model 2, beating the second structure by 3.6 kJ/mol of atoms.

Model 1:
First-principles (GGA-PBE) data for a geometry-optimized LiLaRu structure, as listed in Alexandria.

The structure in POSCAR format:
```
LiLaRu
1.0
5.0167 -0.1590 0.1836
3.7361 3.3525 0.1668
1.2806 0.4835 3.4781
La Li Ru
1 1 1
direct
0.9911 0.9911 0.0089 La
0.3114 0.3114 0.6886 Li
0.6975 0.6975 0.3025 Ru
```

Values from the calculation:
Space-group type: I4mm (107)

Model 2:
First-principles (GGA-PBE) data for a geometry-optimized LiLaRu structure, as listed in Alexandria.

The structure in POSCAR format:
```
LiLaRu
1.0
4.5747 0.0000 0.0000
2.2873 3.9618 0.0000
2.2873 1.3206 3.7352
La Li Ru
1 1 1
direct
0.7500 0.7500 0.7500 La
0.0000 0.0000 0.0000 Li
0.5000 0.5000 0.5000 Ru
```

Values from the calculation:
Space-group type: F-43m (216)

The winner here is model 1, beating the second structure by 47.2 kJ/mol of atoms.